(1)
{"formula": "Mg3AsPd", "functional": "PBE-GGA", "state": "optimized geometry", "relative_energy_mev_per_atom": 124, "space_group": "Pm-3m (221)", "formation_energy_mev_per_atom": 55, "e_tot_ev_per_cell": -14.35, "cell": [[-0.1634, 2.8763, 3.9905], [-3.7518, -2.6551, 1.7601], [3.1813, -2.9835, 2.2807]], "species": ["As", "Mg", "Mg", "Mg", "Pd"], "fractional_positions": [[0.0000, 0.0000, 0.0000], [0.0000, 0.5000, 0.0000], [0.0000, 0.0000, 0.5000], [0.5000, 0.0000, 0.0000], [0.5000, 0.5000, 0.5000]]}



(2)
{"formula": "Mg3AsPd6", "functional": "PBE-GGA", "state": "optimized geometry", "space_group": "Cmc2_1 (36)", "formation_energy_mev_per_atom": -487, "e_tot_ev_per_cell": -90.92, "cell": [[4.6354, 0.0000, 0.0000], [0.0000, 8.9257, -0.9528], [0.0000, -2.9206, 8.4880]], "species": ["Mg", "Mg", "Mg", "Mg", "Mg", "Mg", "As", "As", "Pd", "Pd", "Pd", "Pd", "Pd", "Pd", "Pd", "Pd", "Pd", "Pd", "Pd", "Pd"], "fractional_positions": [[0.6765, 0.9200, 0.7391], [0.1765, 0.7391, 0.9200], [0.1086, 0.4008, 0.5992], [0.6086, 0.5992, 0.4008], [0.1765, 0.0800, 0.2609], [0.6765, 0.2609, 0.0800], [0.0480, 0.2182, 0.7818], [0.5480, 0.7818, 0.2182], [0.1212, 0.7029, 0.5978], [0.6212, 0.5978, 0.7029], [0.2499, 0.4358, 0.0213], [0.7499, 0.0213, 0.4358], [0.1759, 0.0582, 0.9418], [0.5576, 0.2782, 0.7218], [0.0576, 0.7218, 0.2782], [0.6759, 0.9418, 0.0582], [0.2499, 0.9787, 0.5642], [0.7499, 0.5642, 0.9787], [0.1212, 0.4022, 0.2971], [0.6212, 0.2971, 0.4022]]}